# SCAN TaAl2Re, single point on PBEsol structure
data_TaAl2Re
_space_group_name_H-M_alt 'P 1 m 1'
_space_group_IT_number 6
_space_group_name_Hall 'P -2y'
_cell_length_a 2.744
_cell_length_b 4.417
_cell_length_c 5.066
_cell_angle_alpha 90.00
_cell_angle_beta 98.06
_cell_angle_gamma 90.00
loop_
_atom_site_label
_atom_site_fract_x
_atom_site_fract_y
_atom_site_fract_z
_atom_site_occupancy
Ta1 0.000 0.000 0.000 1
Al1 0.541 0.000 0.504 1
Al2 0.597 0.500 0.232 1
Re1 0.189 0.500 0.723 1
# Theoretical density ... 11.5 g/cm³
# Energy of formation ... -0.25 eV per atom
# E ... -38.5466 eV/atom
# Polymorph energy (0 for the lowest one) ... 0.1430 eV/atom

=====

# SCAN TaAl2Re, single point on PBEsol structure
data_TaAl2Re
_space_group_name_H-M_alt 'P 4 m m'
_space_group_IT_number 99
_space_group_name_Hall 'P 4 -2'
_cell_length_a 3.234
_cell_length_b 3.234
_cell_length_c 5.872
_cell_angle_alpha 90.00
_cell_angle_beta 90.00
_cell_angle_gamma 90.00
loop_
_atom_site_label
_atom_site_fract_x
_atom_site_fract_y
_atom_site_fract_z
_atom_site_occupancy
Ta1 0.000 0.000 0.000 1
Al1 0.000 0.000 0.519 1
Al2 0.500 0.500 0.273 1
Re1 0.500 0.500 0.759 1
# Theoretical density ... 11.4 g/cm³
# Energy of formation ... -0.39 eV per atom
# E ... -38.6896 eV/atom
# Polymorph energy (0 for the lowest one) ... 0.0000 eV/atom

=====

# SCAN Ta2AlRe, single point on PBEsol structure
data_Ta2AlRe
_space_group_name_H-M_alt 'I m m m'
_space_group_IT_number 71
_space_group_name_Hall '-I 2 2'
_cell_length_a 3.281
_cell_length_b 4.432
_cell_length_c 8.859
_cell_angle_alpha 90.00
_cell_angle_beta 90.00
_cell_angle_gamma 90.00
loop_
_atom_site_label
_atom_site_fract_x
_atom_site_fract_y
_atom_site_fract_z
_atom_site_occupancy
Ta1 0.000 0.000 0.236 1
Al1 0.000 0.500 0.000 1
Re1 0.000 0.500 0.500 1
# Theoretical density ... 14.8 g/cm³
# Energy of formation ... -0.29 eV per atom
# E ... -53.2897 eV/atom

=====

# SCAN TaAl2Re, single point on PBEsol structure
data_TaAl2Re
_space_group_name_H-M_alt 'I -4 m 2'
_space_group_IT_number 119
_space_group_name_Hall 'I -4 -2'
_cell_length_a 4.412
_cell_length_b 4.412
_cell_length_c 6.191
_cell_angle_alpha 90.00
_cell_angle_beta 90.00
_cell_angle_gamma 90.00
loop_
_atom_site_label
_atom_site_fract_x
_atom_site_fract_y
_atom_site_fract_z
_atom_site_occupancy
Ta1 0.000 0.000 0.000 1
Al1 0.000 0.000 0.500 1
Al2 0.000 0.500 0.750 1
Re1 0.000 0.500 0.250 1
# Theoretical density ... 11.6 g/cm³
# Energy of formation ... -0.39 eV per atom
# E ... -38.6812 eV/atom
# Polymorph energy (0 for the lowest one) ... 0.0084 eV/atom

=====

# SCAN Ta2AlRe, single point on PBEsol structure
data_Ta2AlRe
_space_group_name_H-M_alt 'P 4 m m'
_space_group_IT_number 99
_space_group_name_Hall 'P 4 -2'
_cell_length_a 2.781
_cell_length_b 2.781
_cell_length_c 8.396
_cell_angle_alpha 90.00
_cell_angle_beta 90.00
_cell_angle_gamma 90.00
loop_
_atom_site_label
_atom_site_fract_x
_atom_site_fract_y
_atom_site_fract_z
_atom_site_occupancy
Ta1 0.000 0.000 0.000 1
Ta2 0.500 0.500 0.277 1
Al1 0.000 0.000 0.527 1
Re1 0.500 0.500 0.747 1
# Theoretical density ... 14.7 g/cm³
# Energy of formation ... 0.00 eV per atom
# E ... -53.0045 eV/atom

=====

# SCAN TaAl2Re, single point on PBEsol structure
data_TaAl2Re
_space_group_name_H-M_alt 'C m m 2'
_space_group_IT_number 35
_space_group_name_Hall 'C 2 -2'
_cell_length_a 3.186
_cell_length_b 4.487
_cell_length_c 8.791
_cell_angle_alpha 90.00
_cell_angle_beta 90.00
_cell_angle_gamma 90.00
loop_
_atom_site_label
_atom_site_fract_x
_atom_site_fract_y
_atom_site_fract_z
_atom_site_occupancy
Ta1 0.000 0.000 0.000 1
Al1 0.000 0.000 0.483 1
Al2 0.000 0.500 0.746 1
Re1 0.000 0.500 0.249 1
# Theoretical density ... 11.1 g/cm³
# Energy of formation ... -0.08 eV per atom
# E ... -38.3755 eV/atom
# Polymorph energy (0 for the lowest one) ... 0.3141 eV/atom

=====

# SCAN TaAl2Re, single point on PBEsol structure
data_TaAl2Re
_space_group_name_H-M_alt 'P 4/m m m'
_space_group_IT_number 123
_space_group_name_Hall '-P 4 2'
_cell_length_a 3.856
_cell_length_b 3.856
_cell_length_c 4.109
_cell_angle_alpha 90.00
_cell_angle_beta 90.00
_cell_angle_gamma 90.00
loop_
_atom_site_label
_atom_site_fract_x
_atom_site_fract_y
_atom_site_fract_z
_atom_site_occupancy
Ta1 0.000 0.000 0.000 1
Al1 0.000 0.500 0.500 1
Re1 0.500 0.500 0.000 1
# Theoretical density ... 11.4 g/cm³
# Energy of formation ... -0.23 eV per atom
# E ... -38.5292 eV/atom
# Polymorph energy (0 for the lowest one) ... 0.1604 eV/atom

=====

# SCAN Ta2AlRe, single point on PBEsol structure
data_Ta2AlRe
_space_group_name_H-M_alt 'C 1 2/m 1'
_space_group_IT_number 12
_space_group_name_Hall '-C 2y'
_cell_length_a 5.509
_cell_length_b 8.900
_cell_length_c 2.752
_cell_angle_alpha 90.00
_cell_angle_beta 108.10
_cell_angle_gamma 90.00
loop_
_atom_site_label
_atom_site_fract_x
_atom_site_fract_y
_atom_site_fract_z
_atom_site_occupancy
Ta1 0.250 0.250 0.000 1
Al1 0.000 0.000 0.500 1
Re1 0.000 0.500 0.500 1
# Theoretical density ... 14.9 g/cm³
# Energy of formation ... -0.22 eV per atom
# E ... -53.2266 eV/atom

=====

# SCAN TaAl2Re, single point on PBEsol structure
data_TaAl2Re
_space_group_name_H-M_alt 'P 1 2/m 1'
_space_group_IT_number 10
_space_group_name_Hall '-P 2y'
_cell_length_a 2.760
_cell_length_b 4.274
_cell_length_c 5.301
_cell_angle_alpha 90.00
_cell_angle_beta 101.70
_cell_angle_gamma 90.00
loop_
_atom_site_label
_atom_site_fract_x
_atom_site_fract_y
_atom_site_fract_z
_atom_site_occupancy
Ta1 0.000 0.000 0.000 1
Al1 0.314 0.500 0.743 1
Re1 0.500 0.000 0.500 1
# Theoretical density ... 11.4 g/cm³
# Energy of formation ... -0.24 eV per atom
# E ... -38.5409 eV/atom
# Polymorph energy (0 for the lowest one) ... 0.1487 eV/atom

=====

# SCAN TbAl10Re2, single point on PBEsol structure
data_TbAl10Re2
_space_group_name_H-M_alt 'C m c m'
_space_group_IT_number 63
_space_group_name_Hall '-C 2c 2'
_cell_length_a 9.208
_cell_length_b 10.285
_cell_length_c 17.958
_cell_angle_alpha 90.00
_cell_angle_beta 90.00
_cell_angle_gamma 90.00
loop_
_atom_site_label
_atom_site_fract_x
_atom_site_fract_y
_atom_site_fract_z
_atom_site_occupancy
Tb1 0.000 0.000 0.000 1
Tb2 0.000 0.257 0.250 1
Al1 0.000 0.034 0.675 1
Al2 0.000 0.249 0.592 1
Al3 0.000 0.282 0.075 1
Al4 0.000 0.495 0.644 1
Al5 0.150 0.239 0.750 1
Al6 0.151 0.500 0.000 1
Al7 0.216 0.487 0.250 1
Al8 0.219 0.128 0.131 1
Al9 0.250 0.250 0.000 1
Re1 0.248 0.378 0.121 1
# Theoretical density ... 6.3 g/cm³
# Energy of formation ... -0.40 eV per atom
# E ... -20.9026 eV/atom

=====

# SCAN Al2ReTc, single point on PBEsol structure
data_Al2ReTc
_space_group_name_H-M_alt 'P 4 m m'
_space_group_IT_number 99
_space_group_name_Hall 'P 4 -2'
_cell_length_a 3.062
_cell_length_b 3.062
_cell_length_c 5.953
_cell_angle_alpha 90.00
_cell_angle_beta 90.00
_cell_angle_gamma 90.00
loop_
_atom_site_label
_atom_site_fract_x
_atom_site_fract_y
_atom_site_fract_z
_atom_site_occupancy
Al1 0.000 0.000 0.000 1
Al2 0.500 0.500 0.262 1
Re1 0.000 0.000 0.501 1
Tc1 0.500 0.500 0.767 1
# Theoretical density ... 10.1 g/cm³
# Energy of formation ... -0.46 eV per atom
# E ... -30.8723 eV/atom
# Polymorph energy (0 for the lowest one) ... 0.0000 eV/atom

=====

# SCAN AlReTc2, single point on PBEsol structure
data_AlReTc2
_space_group_name_H-M_alt 'P 4 m m'
_space_group_IT_number 99
_space_group_name_Hall 'P 4 -2'
_cell_length_a 2.864
_cell_length_b 2.864
_cell_length_c 6.815
_cell_angle_alpha 90.00
_cell_angle_beta 90.00
_cell_angle_gamma 90.00
loop_
_atom_site_label
_atom_site_fract_x
_atom_site_fract_y
_atom_site_fract_z
_atom_site_occupancy
Al1 0.000 0.000 0.000 1
Re1 0.500 0.500 0.251 1
Tc1 0.000 0.000 0.506 1
Tc2 0.500 0.500 0.757 1
# Theoretical density ... 12.2 g/cm³
# Energy of formation ... -0.20 eV per atom
# E ... -37.4448 eV/atom

=====

# SCAN Al2ReTc, single point on PBEsol structure
data_Al2ReTc
_space_group_name_H-M_alt 'P m m m'
_space_group_IT_number 47
_space_group_name_Hall '-P 2 2'
_cell_length_a 3.049
_cell_length_b 4.157
_cell_length_c 4.481
_cell_angle_alpha 90.00
_cell_angle_beta 90.00
_cell_angle_gamma 90.00
loop_
_atom_site_label
_atom_site_fract_x
_atom_site_fract_y
_atom_site_fract_z
_atom_site_occupancy
Al1 0.000 0.000 0.000 1
Al2 0.500 0.000 0.500 1
Re1 0.000 0.500 0.500 1
Tc1 0.500 0.500 0.000 1
# Theoretical density ... 9.9 g/cm³
# Energy of formation ... -0.23 eV per atom
# E ... -30.6447 eV/atom
# Polymorph energy (0 for the lowest one) ... 0.2276 eV/atom

=====

# SCAN AlReTc2, single point on PBEsol structure
data_AlReTc2
_space_group_name_H-M_alt 'P 4/m m m'
_space_group_IT_number 123
_space_group_name_Hall '-P 4 2'
_cell_length_a 2.979
_cell_length_b 2.979
_cell_length_c 6.312
_cell_angle_alpha 90.00
_cell_angle_beta 90.00
_cell_angle_gamma 90.00
loop_
_atom_site_label
_atom_site_fract_x
_atom_site_fract_y
_atom_site_fract_z
_atom_site_occupancy
Al1 0.000 0.000 0.000 1
Re1 0.000 0.000 0.500 1
Tc1 0.500 0.500 0.248 1
# Theoretical density ... 12.1 g/cm³
# Energy of formation ... -0.32 eV per atom
# E ... -37.5590 eV/atom